First-principles (PBE) data for a relaxed structure of Ac2DyPb2O2, as listed in Alexandria.

Formation energy without anion corrections, kcal/mol of atoms: -38.73
E_tot, hartree per atom: -0.2200

a = 4.528 Å, b = 4.528 Å, c = 9.229 Å
α = 104.20°, β = 104.20°, γ = 90.00°
Sites, in units of the cell vectors:
1 Ac 0.391 0.391 0.782
2 Ac 0.609 0.609 0.218
3 Dy 0.000 0.000 0.000
4 Pb 0.199 0.199 0.398
5 Pb 0.801 0.801 0.602
6 O 0.000 0.500 0.000
7 O 0.500 0.000 0.000

First-principles (PBE) data for a relaxed structure of SrTcP2, as listed in Alexandria.

E_tot, hartree per atom: -0.1974
Polymorph energy (0 for the lowest one), eV per atom: 0.918

a = 8.379 Å, b = 8.379 Å, c = 8.379 Å
α = 22.40°, β = 22.40°, γ = 22.40°
Sites, in units of the cell vectors:
1 P 0.000 0.000 0.000
2 P 0.270 0.270 0.270
3 Sr 0.501 0.501 0.501
4 Tc 0.729 0.729 0.729

First-principles (PBE) data for a relaxed structure of BaScNi, as listed in Alexandria.

E_tot, hartree per atom: -0.1713
Polymorph energy (0 for the lowest one), eV per atom: 0.183

a = 6.935 Å, b = 6.936 Å, c = 3.497 Å
α = 75.39°, β = 75.39°, γ = 29.20°
Sites, in units of the cell vectors:
1 Ba 0.979 0.979 0.021
2 Ni 0.299 0.299 0.701
3 Sc 0.721 0.721 0.279

First-principles (PBE) data for a relaxed structure of Dy3Bi3H2, as listed in Alexandria.

E_tot, hartree per atom: -0.1704

a = 3.790 Å, b = 6.332 Å, c = 16.365 Å
α = 90.00°, β = 90.00°, γ = 107.42°
Sites, in units of the cell vectors:
1 Dy 0.650 0.300 0.448
2 Dy 0.350 0.700 0.948
3 Dy 0.650 0.300 0.052
4 Dy 0.350 0.700 0.552
5 Dy 0.351 0.702 0.250
6 Dy 0.649 0.298 0.750
7 Bi 0.937 0.874 0.395
8 Bi 0.063 0.126 0.895
9 Bi 0.937 0.874 0.105
10 Bi 0.063 0.126 0.605
11 Bi 0.631 0.263 0.250
12 Bi 0.369 0.737 0.750
13 H 0.765 0.530 0.949
14 H 0.235 0.470 0.449
15 H 0.765 0.530 0.551
16 H 0.235 0.470 0.051

First-principles (PBE) data for a relaxed structure of Th8Tc3Hg2, as listed in Alexandria.

E_tot, hartree per atom: -0.2567
Polymorph energy (0 for the lowest one), eV per atom: 0.050

a = 7.458 Å, b = 7.457 Å, c = 8.538 Å
α = 115.89°, β = 106.04°, γ = 90.00°
Sites, in units of the cell vectors:
1 Th 0.946 0.605 0.211
2 Th 0.054 0.395 0.789
3 Th 0.864 0.127 0.254
4 Th 0.136 0.873 0.746
5 Th 0.621 0.645 0.796
6 Th 0.621 0.151 0.796
7 Th 0.379 0.849 0.204
8 Th 0.379 0.355 0.204
9 Tc 0.500 0.000 0.000
10 Tc 0.000 0.210 0.000
11 Tc 0.000 0.790 0.000
12 Hg 0.300 0.258 0.517
13 Hg 0.700 0.742 0.483

First-principles (PBE) data for a relaxed structure of YHf3Mn, as listed in Alexandria.

E_tot, hartree per atom: -0.2536
Polymorph energy (0 for the lowest one), eV per atom: 1.954

a = 5.061 Å, b = 5.061 Å, c = 5.061 Å
α = 90.00°, β = 90.00°, γ = 90.00°
Sites, in units of the cell vectors:
1 Y 0.000 0.000 0.000
2 Mn 0.500 0.500 0.500
3 Hf 0.000 0.500 0.000
4 Hf 0.000 0.000 0.500
5 Hf 0.500 0.000 0.000

First-principles (PBE) data for a relaxed structure of HfAg2SnH, as listed in Alexandria.

E_tot, hartree per atom: -0.1712

a = 4.301 Å, b = 4.301 Å, c = 4.407 Å
α = 90.00°, β = 90.00°, γ = 90.00°
Sites, in units of the cell vectors:
1 H 0.000 0.000 0.000
2 Hf 0.000 0.000 0.500
3 Sn 0.500 0.500 0.500
4 Ag 0.000 0.500 0.000
5 Ag 0.500 0.000 0.000

First-principles (PBE) data for a relaxed structure of Ba2LiSnAu6, as listed in Alexandria.

E_tot, hartree per atom: -0.1268

a = 7.098 Å, b = 7.378 Å, c = 7.081 Å
α = 73.63°, β = 53.43°, γ = 96.09°
Sites, in units of the cell vectors:
1 Ba 0.245 0.792 0.452
2 Ba 0.755 0.208 0.548
3 Li 0.500 0.500 0.000
4 Sn 0.000 0.000 0.000
5 Au 0.250 0.731 0.973
6 Au 0.746 0.613 0.130
7 Au 0.297 0.271 0.480
8 Au 0.750 0.269 0.027
9 Au 0.254 0.387 0.870
10 Au 0.703 0.729 0.520

First-principles (PBE) data for a relaxed structure of Ta2Rh, as listed in Alexandria.

E_tot, hartree per atom: -0.3871

a = 4.706 Å, b = 4.706 Å, c = 5.318 Å
α = 90.00°, β = 90.00°, γ = 120.00°
Sites, in units of the cell vectors:
1 Ta 0.000 0.000 0.000
2 Ta 0.000 0.000 0.500
3 Ta 0.333 0.667 0.750
4 Ta 0.667 0.333 0.250
5 Rh 0.333 0.667 0.250
6 Rh 0.667 0.333 0.750

First-principles (PBE) data for a relaxed structure of KIn3Ge, as listed in Alexandria.

E_tot, hartree per atom: -0.1037
Polymorph energy (0 for the lowest one), eV per atom: 0.000

a = 7.141 Å, b = 9.629 Å, c = 9.629 Å
α = 63.91°, β = 79.47°, γ = 79.47°
Sites, in units of the cell vectors:
1 K 0.250 0.974 0.026
2 K 0.750 0.026 0.974
3 K 0.250 0.351 0.649
4 K 0.750 0.649 0.351
5 In 0.605 0.653 0.989
6 In 0.895 0.011 0.347
7 In 0.395 0.347 0.011
8 In 0.105 0.989 0.653
9 In 0.924 0.340 0.021
10 In 0.576 0.979 0.660
11 In 0.076 0.660 0.979
12 In 0.424 0.021 0.340
13 In 0.409 0.674 0.690
14 In 0.091 0.310 0.326
15 In 0.591 0.326 0.310
16 In 0.909 0.690 0.674
17 Ge 0.715 0.416 0.750
18 Ge 0.785 0.250 0.584
19 Ge 0.285 0.584 0.250
20 Ge 0.215 0.750 0.416

First-principles (PBE) data for a relaxed structure of Y2TiCdC, as listed in Alexandria.

E_tot, hartree per atom: -0.2398

a = 5.008 Å, b = 5.008 Å, c = 4.208 Å
α = 90.00°, β = 90.00°, γ = 90.00°
Sites, in units of the cell vectors:
1 Y 0.000 0.500 0.000
2 Y 0.500 0.000 0.000
3 C 0.000 0.000 0.000
4 Ti 0.000 0.000 0.500
5 Cd 0.500 0.500 0.500

First-principles (PBE) data for a relaxed structure of SrV2CrGe, as listed in Alexandria.

E_tot, hartree per atom: -0.1513

a = 4.603 Å, b = 5.305 Å, c = 4.603 Å
α = 90.00°, β = 90.00°, γ = 90.00°
Sites, in units of the cell vectors:
1 Sr 0.000 0.000 0.000
2 Ge 0.000 0.500 0.000
3 V 0.000 0.000 0.500
4 V 0.500 0.000 0.000
5 Cr 0.500 0.500 0.500